Model 1:
DFT (SCAN) results for a crystal of BeCu2Br relaxed with PBEsol.

Cell: 3.412 3.412 5.652 Å, 107.57 107.57 90.00°
Sites, in units of the cell vectors:
Br 0.250 0.750 0.500
Cu 0.750 0.250 0.500
Cu 0.000 0.000 0.000
Be 0.500 0.500 0.000

***

Model 2:
DFT (SCAN) results for a crystal of BeCu2Br relaxed with PBEsol.

Cell: 3.054 4.431 4.431 Å, 112.32 89.98 89.98°
Sites, in units of the cell vectors:
Br 0.500 0.000 0.000
Cu 0.000 0.000 0.500
Cu 0.000 0.500 0.000
Be 0.500 0.500 0.500

***

Most stable one: model 1, least stable one: model 2.

***

Model 1:
DFT (SCAN) results for a crystal of BeFeBr2 relaxed with PBEsol.

Cell: 3.184 3.453 7.426 Å, 90.00 90.00 117.45°
Sites, in units of the cell vectors:
Br 0.000 0.000 0.776
Br 0.000 0.000 0.224
Be 0.500 0.000 0.000
Fe 0.500 0.000 0.500

***

Model 2:
DFT (SCAN) results for a crystal of BeFeBr2 relaxed with PBEsol.

Cell: 3.220 3.427 8.525 Å, 90.00 90.00 118.02°
Sites, in units of the cell vectors:
Fe 0.000 0.000 0.531
Be 0.500 0.000 0.738
Br 0.500 0.000 0.322
Br 0.000 0.000 0.908

***

Most stable one: model 2, least stable one: model 1.

***

Model 1:
DFT (SCAN) results for a crystal of BeFeBr2 relaxed with PBEsol.

Cell: 3.335 3.335 6.626 Å, 90.19 90.00 90.00°
Sites, in units of the cell vectors:
Fe 0.000 0.625 0.625
Br 0.000 0.127 0.895
Br 0.500 0.623 0.355
Be 0.500 0.125 0.625

***

Model 2:
DFT (SCAN) results for a crystal of BeFeBr2 relaxed with PBEsol.

Cell: 3.291 3.704 6.184 Å, 90.00 90.00 90.00°
Sites, in units of the cell vectors:
Be 0.000 0.500 0.500
Br 0.500 0.000 0.500
Br 0.000 0.000 0.000
Fe 0.500 0.500 0.000

***

Most stable one: model 1, least stable one: model 2.

***

Model 1:
DFT (SCAN) results for a crystal of BeFeBr2 relaxed with PBEsol.

Cell: 3.170 3.170 6.510 Å, 90.00 90.00 90.00°
Sites, in units of the cell vectors:
Br 0.000 0.000 0.249
Br 0.000 0.000 0.751
Fe 0.500 0.500 0.000
Be 0.500 0.500 0.500

***

Model 2:
DFT (SCAN) results for a crystal of BeFeBr2 relaxed with PBEsol.

Cell: 3.454 3.456 7.043 Å, 90.24 90.00 119.98°
Sites, in units of the cell vectors:
Br 0.957 0.913 0.095
Br 0.626 0.253 0.642
Be 0.293 0.585 0.460
Fe 0.625 0.249 0.303

***

Most stable one: model 2, least stable one: model 1.

***

Model 1:
DFT (SCAN) results for a crystal of BeGe2PBr relaxed with PBEsol.

Cell: 3.911 4.917 4.917 Å, 90.00 90.00 90.00°
Sites, in units of the cell vectors:
Ge 0.000 0.000 0.500
Ge 0.000 0.500 0.000
Be 0.000 0.000 0.000
P 0.500 0.000 0.000
Br 0.500 0.500 0.500

***

Model 2:
DFT (SCAN) results for a crystal of BeGe2PBr relaxed with PBEsol.

Cell: 4.270 5.119 5.119 Å, 90.00 90.00 90.00°
Sites, in units of the cell vectors:
Be 0.500 0.000 0.000
Ge 0.000 0.500 0.000
Ge 0.000 0.000 0.500
P 0.500 0.500 0.500
Br 0.000 0.000 0.000

***

Most stable one: model 1, least stable one: model 2.

***

Model 1:
DFT (SCAN) results for a crystal of BeH2Br relaxed with PBEsol.

Cell: 3.786 3.786 3.786 Å, 60.00 60.00 60.00°
Sites, in units of the cell vectors:
Be 0.000 0.000 0.000
Br 0.500 0.500 0.500
H 0.750 0.750 0.750
H 0.250 0.250 0.250

***

Model 2:
DFT (SCAN) results for a crystal of BeH2Br relaxed with PBEsol.

Cell: 4.932 4.932 4.932 Å, 60.00 60.00 60.00°
Sites, in units of the cell vectors:
Br 0.750 0.750 0.750
Br 0.500 0.500 0.500
H 0.125 0.125 0.125
H 0.625 0.125 0.125
H 0.125 0.625 0.125
H 0.125 0.125 0.625
Be 0.250 0.250 0.250
Be 0.000 0.000 0.000

***

Most stable one: model 2, least stable one: model 1.

***

Model 1:
DFT (SCAN) results for a crystal of BeInBr2 relaxed with PBEsol.

Cell: 3.442 3.699 8.897 Å, 90.00 90.00 117.72°
Sites, in units of the cell vectors:
Br 0.500 0.000 0.294
Br 0.000 0.000 0.917
In 0.000 0.000 0.531
Be 0.500 0.000 0.759

***

Model 2:
DFT (SCAN) results for a crystal of BeInBr2 relaxed with PBEsol.

Cell: 3.638 5.130 5.130 Å, 90.00 90.00 90.00°
Sites, in units of the cell vectors:
Br 0.000 0.500 0.000
Br 0.000 0.000 0.500
Be 0.500 0.000 0.000
In 0.500 0.500 0.500

***

Most stable one: model 1, least stable one: model 2.

***

Model 1:
DFT (SCAN) results for a crystal of Be2IrBr relaxed with PBEsol.

Cell: 4.161 4.161 4.161 Å, 60.00 60.00 60.00°
Sites, in units of the cell vectors:
Br 0.000 0.000 0.000
Ir 0.500 0.500 0.500
Be 0.250 0.250 0.250
Be 0.750 0.750 0.750

***

Model 2:
DFT (SCAN) results for a crystal of Be2IrBr relaxed with PBEsol.

Cell: 3.085 3.085 6.391 Å, 90.00 90.00 90.00°
Sites, in units of the cell vectors:
Be 0.000 0.000 0.982
Be 0.500 0.500 0.221
Br 0.000 0.000 0.404
Ir 0.500 0.500 0.893

***

Model 3:
DFT (SCAN) results for a crystal of Be2IrBr relaxed with PBEsol.

Cell: 3.193 3.193 6.053 Å, 105.29 105.29 90.00°
Sites, in units of the cell vectors:
Ir 0.250 0.750 0.500
Br 0.500 0.500 0.000
Be 0.750 0.250 0.500
Be 0.000 0.000 0.000

***

Most stable one: model 2, least stable one: model 1.